--- A ---
Hf2Pa2O5: relaxed, PBE.

Structure (CIF):
```
data_Hf2Pa2O5
_chemical_formula_sum 'Hf2 Pa2 O5'
_symmetry_space_group_name_H-M 'P 4/m m m'
_symmetry_Int_Tables_number 123
_symmetry_space_group_name_Hall '-P 4 2'
_cell_length_a 3.790
_cell_length_b 3.790
_cell_length_c 9.544
_cell_angle_alpha 90.00
_cell_angle_beta 90.00
_cell_angle_gamma 90.00
loop_
_atom_site_label
_atom_site_type_symbol
_atom_site_fract_x
_atom_site_fract_y
_atom_site_fract_z
_atom_site_occupancy
Hf1 Hf 0.000 0.000 0.000 1
Hf2 Hf 0.000 0.000 0.500 1
Pa1 Pa 0.500 0.500 0.233 1
O1 O 0.000 0.500 0.347 1
O2 O 0.500 0.500 0.500 1
```

Computed properties:
As for the size of the total moment: 3.3 μB per cell.

***

--- B ---
Hf2Pa2O5: relaxed, PBE.

Structure (CIF):
```
data_Hf2Pa2O5
_chemical_formula_sum 'Hf2 Pa2 O5'
_symmetry_space_group_name_H-M 'P 4/m m m'
_symmetry_Int_Tables_number 123
_symmetry_space_group_name_Hall '-P 4 2'
_cell_length_a 4.139
_cell_length_b 4.139
_cell_length_c 7.392
_cell_angle_alpha 90.00
_cell_angle_beta 90.00
_cell_angle_gamma 90.00
loop_
_atom_site_label
_atom_site_type_symbol
_atom_site_fract_x
_atom_site_fract_y
_atom_site_fract_z
_atom_site_occupancy
Hf1 Hf 0.000 0.000 0.213 1
Pa1 Pa 0.500 0.500 0.000 1
Pa2 Pa 0.500 0.500 0.500 1
O1 O 0.000 0.000 0.500 1
O2 O 0.000 0.500 0.254 1
```

Computed properties:
As for the size of the total moment: 3.6 μB per cell.

***

Most favorable first, least favorable last: B, A

***

--- A ---
Pr2Hf2O5: relaxed, PBE.

Structure (CIF):
```
data_Pr2Hf2O5
_chemical_formula_sum 'Pr2 Hf2 O5'
_symmetry_space_group_name_H-M 'P 4/m m m'
_symmetry_Int_Tables_number 123
_symmetry_space_group_name_Hall '-P 4 2'
_cell_length_a 4.127
_cell_length_b 4.127
_cell_length_c 7.441
_cell_angle_alpha 90.00
_cell_angle_beta 90.00
_cell_angle_gamma 90.00
loop_
_atom_site_label
_atom_site_type_symbol
_atom_site_fract_x
_atom_site_fract_y
_atom_site_fract_z
_atom_site_occupancy
Pr1 Pr 0.000 0.000 0.000 1
Pr2 Pr 0.000 0.000 0.500 1
Hf1 Hf 0.500 0.500 0.220 1
O1 O 0.000 0.500 0.253 1
O2 O 0.500 0.500 0.500 1
```

Computed properties:
As for the size of the total moment: 0.0 μB per cell.

***

--- B ---
Pr2Hf2O5: relaxed, PBE.

Structure (CIF):
```
data_Pr2Hf2O5
_chemical_formula_sum 'Pr2 Hf2 O5'
_symmetry_space_group_name_H-M 'P 4/m m m'
_symmetry_Int_Tables_number 123
_symmetry_space_group_name_Hall '-P 4 2'
_cell_length_a 3.892
_cell_length_b 3.892
_cell_length_c 9.876
_cell_angle_alpha 90.00
_cell_angle_beta 90.00
_cell_angle_gamma 90.00
loop_
_atom_site_label
_atom_site_type_symbol
_atom_site_fract_x
_atom_site_fract_y
_atom_site_fract_z
_atom_site_occupancy
Pr1 Pr 0.000 0.000 0.248 1
Hf1 Hf 0.500 0.500 0.000 1
Hf2 Hf 0.500 0.500 0.500 1
O1 O 0.000 0.000 0.000 1
O2 O 0.000 0.500 0.138 1
```

Computed properties:
As for the size of the total moment: 3.1 μB per cell.

***

Most favorable first, least favorable last: A, B

***

--- A ---
Hf31PtO64: relaxed, PBE.

Structure (CIF):
```
data_Hf31PtO64
_chemical_formula_sum 'Hf31 Pt1 O64'
_symmetry_space_group_name_H-M 'P 1'
_symmetry_Int_Tables_number 1
_cell_length_a 10.021
_cell_length_b 10.083
_cell_length_c 10.462
_cell_angle_alpha 89.81
_cell_angle_beta 89.85
_cell_angle_gamma 89.63
loop_
_symmetry_equiv_pos_as_xyz
'x,y,z'
loop_
_atom_site_label
_atom_site_type_symbol
_atom_site_fract_x
_atom_site_fract_y
_atom_site_fract_z
_atom_site_occupancy
Hf1 Hf 0.000 0.000 0.000 1
Hf2 Hf 0.000 0.002 0.503 1
Hf3 Hf 0.000 0.250 0.783 1
Hf4 Hf 0.002 0.503 0.995 1
Hf5 Hf 0.230 0.501 0.748 1
Hf6 Hf 0.231 0.249 0.034 1
Hf7 Hf 0.231 0.501 0.247 1
Hf8 Hf 0.232 0.252 0.534 1
Hf9 Hf 0.233 0.752 0.531 1
Hf10 Hf 0.234 0.000 0.752 1
Hf11 Hf 0.234 0.006 0.256 1
Hf12 Hf 0.494 0.505 0.002 1
Hf13 Hf 0.494 0.754 0.785 1
Hf14 Hf 0.498 0.255 0.783 1
Hf15 Hf 0.499 0.502 0.500 1
Hf16 Hf 0.500 0.254 0.283 1
Hf17 Hf 0.501 0.003 0.501 1
Hf18 Hf 0.505 0.753 0.285 1
Hf19 Hf 0.507 0.006 0.997 1
Hf20 Hf 0.730 0.502 0.752 1
Hf21 Hf 0.730 0.750 0.535 1
Hf22 Hf 0.731 0.751 0.033 1
Hf23 Hf 0.732 0.501 0.249 1
Hf24 Hf 0.733 0.004 0.250 1
Hf25 Hf 0.733 0.253 0.534 1
Hf26 Hf 0.734 0.001 0.750 1
Hf27 Hf 0.734 0.256 0.032 1
Hf28 Hf 0.997 0.752 0.284 1
Hf29 Hf 0.999 0.252 0.283 1
Hf30 Hf 0.999 0.502 0.499 1
Hf31 Hf 0.999 0.750 0.781 1
Pt1 Pt 0.240 0.775 0.057 1
O1 O 0.094 0.126 0.136 1
O2 O 0.094 0.377 0.649 1
O3 O 0.094 0.378 0.149 1
O4 O 0.097 0.126 0.634 1
O5 O 0.097 0.628 0.623 1
O6 O 0.098 0.877 0.653 1
O7 O 0.099 0.879 0.154 1
O8 O 0.105 0.628 0.122 1
O9 O 0.116 0.613 0.865 1
O10 O 0.134 0.627 0.378 1
O11 O 0.136 0.128 0.386 1
O12 O 0.136 0.878 0.402 1
O13 O 0.137 0.122 0.885 1
O14 O 0.137 0.371 0.899 1
O15 O 0.137 0.377 0.398 1
O16 O 0.138 0.867 0.907 1
O17 O 0.328 0.683 0.701 1
O18 O 0.330 0.182 0.701 1
O19 O 0.330 0.184 0.203 1
O20 O 0.330 0.429 0.083 1
O21 O 0.331 0.431 0.581 1
O22 O 0.331 0.952 0.079 1
O23 O 0.332 0.686 0.205 1
O24 O 0.332 0.933 0.583 1
O25 O 0.393 0.687 0.956 1
O26 O 0.401 0.183 0.450 1
O27 O 0.401 0.436 0.833 1
O28 O 0.402 0.436 0.331 1
O29 O 0.402 0.682 0.449 1
O30 O 0.403 0.186 0.951 1
O31 O 0.403 0.933 0.333 1
O32 O 0.405 0.936 0.833 1
O33 O 0.593 0.627 0.634 1
O34 O 0.595 0.379 0.150 1
O35 O 0.595 0.880 0.149 1
O36 O 0.596 0.377 0.650 1
O37 O 0.596 0.628 0.135 1
O38 O 0.596 0.877 0.650 1
O39 O 0.597 0.127 0.633 1
O40 O 0.598 0.130 0.132 1
O41 O 0.628 0.629 0.884 1
O42 O 0.633 0.380 0.901 1
O43 O 0.636 0.128 0.383 1
O44 O 0.636 0.377 0.399 1
O45 O 0.638 0.130 0.882 1
O46 O 0.638 0.627 0.385 1
O47 O 0.638 0.878 0.400 1
O48 O 0.640 0.879 0.899 1
O49 O 0.829 0.433 0.583 1
O50 O 0.829 0.680 0.700 1
O51 O 0.830 0.184 0.200 1
O52 O 0.830 0.434 0.082 1
O53 O 0.832 0.180 0.699 1
O54 O 0.832 0.929 0.584 1
O55 O 0.832 0.930 0.085 1
O56 O 0.833 0.680 0.199 1
O57 O 0.895 0.680 0.948 1
O58 O 0.896 0.425 0.834 1
O59 O 0.900 0.683 0.449 1
O60 O 0.901 0.182 0.450 1
O61 O 0.901 0.432 0.333 1
O62 O 0.902 0.180 0.951 1
O63 O 0.904 0.934 0.332 1
O64 O 0.905 0.934 0.833 1
```

Computed properties:
As for the size of the total moment: 0.0 μB per cell.

***

--- B ---
Hf31PtO64: relaxed, PBE.

Structure (CIF):
```
data_Hf31PtO64
_chemical_formula_sum 'Hf31 Pt1 O64'
_symmetry_space_group_name_H-M 'P 1'
_symmetry_Int_Tables_number 1
_cell_length_a 10.200
_cell_length_b 10.297
_cell_length_c 10.568
_cell_angle_alpha 89.99
_cell_angle_beta 80.62
_cell_angle_gamma 89.69
loop_
_symmetry_equiv_pos_as_xyz
'x,y,z'
loop_
_atom_site_label
_atom_site_type_symbol
_atom_site_fract_x
_atom_site_fract_y
_atom_site_fract_z
_atom_site_occupancy
Hf1 Hf 0.000 0.000 0.000 1
Hf2 Hf 0.000 0.000 0.498 1
Hf3 Hf 0.000 0.792 0.749 1
Hf4 Hf 0.001 0.291 0.250 1
Hf5 Hf 0.001 0.294 0.749 1
Hf6 Hf 0.001 0.502 0.000 1
Hf7 Hf 0.275 0.042 0.792 1
Hf8 Hf 0.276 0.036 0.291 1
Hf9 Hf 0.276 0.249 0.540 1
Hf10 Hf 0.276 0.541 0.291 1
Hf11 Hf 0.276 0.542 0.793 1
Hf12 Hf 0.276 0.750 0.542 1
Hf13 Hf 0.277 0.246 0.043 1
Hf14 Hf 0.278 0.752 0.046 1
Hf15 Hf 0.495 0.796 0.250 1
Hf16 Hf 0.498 0.501 0.498 1
Hf17 Hf 0.498 0.789 0.751 1
Hf18 Hf 0.499 0.498 0.999 1
Hf19 Hf 0.500 0.289 0.249 1
Hf20 Hf 0.501 0.001 0.502 1
Hf21 Hf 0.502 0.295 0.747 1
Hf22 Hf 0.771 0.754 0.039 1
Hf23 Hf 0.773 0.544 0.289 1
Hf24 Hf 0.775 0.041 0.291 1
Hf25 Hf 0.775 0.750 0.540 1
Hf26 Hf 0.777 0.251 0.540 1
Hf27 Hf 0.777 0.542 0.791 1
Hf28 Hf 0.779 0.254 0.043 1
Hf29 Hf 0.783 0.045 0.788 1
Hf30 Hf 0.998 0.791 0.248 1
Hf31 Hf 0.999 0.500 0.498 1
Pt1 Pt 0.513 0.012 0.976 1
O1 O 0.099 0.935 0.319 1
O2 O 0.103 0.856 0.069 1
O3 O 0.104 0.356 0.069 1
O4 O 0.104 0.357 0.569 1
O5 O 0.104 0.437 0.819 1
O6 O 0.104 0.856 0.569 1
O7 O 0.105 0.433 0.320 1
O8 O 0.105 0.936 0.819 1
O9 O 0.165 0.678 0.220 1
O10 O 0.171 0.105 0.473 1
O11 O 0.171 0.607 0.471 1
O12 O 0.172 0.107 0.971 1
O13 O 0.172 0.607 0.972 1
O14 O 0.172 0.685 0.722 1
O15 O 0.173 0.187 0.722 1
O16 O 0.174 0.185 0.222 1
O17 O 0.341 0.881 0.177 1
O18 O 0.361 0.394 0.156 1
O19 O 0.361 0.898 0.661 1
O20 O 0.362 0.391 0.905 1
O21 O 0.362 0.392 0.406 1
O22 O 0.362 0.400 0.655 1
O23 O 0.363 0.894 0.414 1
O24 O 0.364 0.899 0.914 1
O25 O 0.412 0.651 0.385 1
O26 O 0.413 0.637 0.136 1
O27 O 0.413 0.651 0.886 1
O28 O 0.414 0.128 0.132 1
O29 O 0.414 0.143 0.635 1
O30 O 0.414 0.149 0.384 1
O31 O 0.415 0.643 0.636 1
O32 O 0.420 0.152 0.884 1
O33 O 0.595 0.865 0.066 1
O34 O 0.602 0.436 0.317 1
O35 O 0.603 0.936 0.320 1
O36 O 0.604 0.354 0.068 1
O37 O 0.604 0.437 0.818 1
O38 O 0.604 0.858 0.572 1
O39 O 0.605 0.358 0.568 1
O40 O 0.611 0.932 0.817 1
O41 O 0.668 0.688 0.217 1
O42 O 0.669 0.608 0.971 1
O43 O 0.669 0.609 0.469 1
O44 O 0.671 0.684 0.720 1
O45 O 0.672 0.108 0.472 1
O46 O 0.673 0.185 0.721 1
O47 O 0.674 0.187 0.222 1
O48 O 0.682 0.107 0.972 1
O49 O 0.859 0.892 0.406 1
O50 O 0.859 0.900 0.155 1
O51 O 0.861 0.393 0.405 1
O52 O 0.861 0.400 0.656 1
O53 O 0.861 0.900 0.655 1
O54 O 0.862 0.394 0.906 1
O55 O 0.862 0.401 0.156 1
O56 O 0.863 0.894 0.905 1
O57 O 0.910 0.644 0.133 1
O58 O 0.912 0.649 0.384 1
O59 O 0.912 0.652 0.885 1
O60 O 0.914 0.150 0.385 1
O61 O 0.914 0.643 0.634 1
O62 O 0.916 0.143 0.135 1
O63 O 0.916 0.143 0.635 1
O64 O 0.916 0.152 0.884 1
```

Computed properties:
As for the size of the total moment: 0.0 μB per cell.

***

Most favorable first, least favorable last: B, A